(1)
# Rb3La2SmS6

Crystalline Rb3La2SmS6 at its relaxed geometry (GGA-PBE, Alexandria via LeMat-Bulk).

Cell and atoms, written as CIF:
```
data_Rb3La2SmS6
_space_group_name_H-M_alt 'C 1 2/m 1'
_space_group_IT_number 12
_cell_length_a 7.402
_cell_length_b 12.820
_cell_length_c 8.082
_cell_angle_alpha 90.00
_cell_angle_beta 107.78
_cell_angle_gamma 90.00
loop_
_space_group_symop_operation_xyz
'x,y,z'
'-x,-y,-z'
'-x,y,-z'
'x,-y,z'
'x+1/2,y+1/2,z'
'-x+1/2,-y+1/2,-z'
'-x+1/2,y+1/2,-z'
'x+1/2,-y+1/2,z'
loop_
_atom_site_label
_atom_site_type_symbol
_atom_site_fract_x
_atom_site_fract_y
_atom_site_fract_z
Rb1 Rb 0.000 0.000 0.000
Rb2 Rb 0.000 0.333 0.000
La1 La 0.000 0.167 0.500
Sm1 Sm 0.000 0.500 0.500
S1 S 0.229 0.337 0.697
S2 S 0.239 0.000 0.697
```

(2)
# YSb2TeRu

Crystalline YSb2TeRu at its relaxed geometry (GGA-PBE, Alexandria via LeMat-Bulk).

Cell and atoms, written as CIF:
```
data_YSb2TeRu
_space_group_name_H-M_alt 'P 4/m m m'
_space_group_IT_number 123
_space_group_name_Hall '-P 4 2'
_cell_length_a 5.744
_cell_length_b 5.744
_cell_length_c 5.685
_cell_angle_alpha 90.00
_cell_angle_beta 90.00
_cell_angle_gamma 90.00
loop_
_atom_site_label
_atom_site_type_symbol
_atom_site_fract_x
_atom_site_fract_y
_atom_site_fract_z
Y1 Y 0.000 0.000 0.000
Sb1 Sb 0.000 0.500 0.000
Te1 Te 0.000 0.000 0.500
Ru1 Ru 0.500 0.500 0.500
```

Energy above the most stable polymorph in this dataset = 5.18 eV per formula unit

(3)
# Ag2IrBr

Crystalline Ag2IrBr at its relaxed geometry (GGA-PBE, Alexandria via LeMat-Bulk).

Cell and atoms, written as CIF:
```
data_Ag2IrBr
_space_group_name_H-M_alt 'P 4 m m'
_space_group_IT_number 99
_cell_length_a 2.998
_cell_length_b 2.998
_cell_length_c 8.276
_cell_angle_alpha 90.00
_cell_angle_beta 90.00
_cell_angle_gamma 90.00
loop_
_space_group_symop_operation_xyz
'x,y,z'
'-y,x,z'
'-x,-y,z'
'y,-x,z'
'-x,y,z'
'y,x,z'
'x,-y,z'
'-y,-x,z'
loop_
_atom_site_label
_atom_site_type_symbol
_atom_site_fract_x
_atom_site_fract_y
_atom_site_fract_z
Ag1 Ag 0.000 0.000 0.000
Ag2 Ag 0.500 0.500 0.241
Ir1 Ir 0.500 0.500 0.767
Br1 Br 0.000 0.000 0.549
```

Energy above the most stable polymorph in this dataset = 0.68 eV per formula unit

Energy relative to the elements, uncorrected values, unit eV per formula unit, following the record order: -22.52, 5.36, 2.46.
VASP energy values, unit eV per cell, following the record order: -129.5, -21.8, -13.8.